[1]
{"formula": "NiAg2Br", "functional": "GGA-PBE", "state": "optimized geometry", "e_tot_ev_per_atom": -2.859, "crystal_system": "tetragonal", "m_tot_mub_per_fu": 0.608, "e_form_raw_ev_per_atom": 0.430, "relative_energy_ev_per_atom": 0.268, "lattice": [[3.9807, 0.0000, 0.0000], [0.0000, 3.9807, 0.0000], [0.0000, 0.0000, 4.5788]], "species": ["Ni", "Br", "Ag", "Ag"], "fractional_positions": [[0.0000, 0.5000, 0.5000], [0.5000, 0.0000, 0.5000], [0.5000, 0.5000, 0.0000], [0.0000, 0.0000, 0.0000]]}


[2]
{"formula": "Ti5CrRu6", "functional": "GGA-PBE", "state": "optimized geometry", "e_tot_ev_per_atom": -9.332, "crystal_system": "orthorhombic", "m_tot_mub_per_fu": 2.108, "formation_energy_kj_per_mol_atoms": -58.1, "lattice": [[-3.7713, -1.8891, 1.0402], [2.9489, -3.7685, 3.8472], [-0.4001, 7.1123, 2.3742]], "species": ["Ti", "Ti", "Ti", "Ti", "Ti", "Ru", "Ru", "Ru", "Ru", "Ru", "Ru", "Cr"], "fractional_positions": [[0.0000, 0.5000, 0.0000], [0.3314, 0.3314, 0.6627], [0.3392, 0.8389, 0.6779], [0.6608, 0.1611, 0.3221], [0.6686, 0.6686, 0.3373], [0.1665, 0.9156, 0.3333], [0.8334, 0.5823, 0.6667], [0.1666, 0.4177, 0.3333], [0.5000, 0.2533, 0.0000], [0.8335, 0.0844, 0.6667], [0.5000, 0.7467, 0.0000], [0.0000, 0.0000, 0.0000]]}


[3]
{"formula": "LiNpSn2Br8", "functional": "GGA-PBE", "state": "optimized geometry", "e_tot_ev_per_atom": -4.068, "crystal_system": "monoclinic", "m_tot_mub_per_fu": 4.000, "e_form_raw_ev_per_atom": -1.048, "lattice": [[7.1723, 0.1256, -0.0043], [0.1480, 6.8346, -0.0080], [0.0050, 0.0101, 8.5195]], "species": ["Np", "Br", "Br", "Br", "Br", "Br", "Br", "Br", "Br", "Sn", "Sn", "Li"], "fractional_positions": [[0.0000, 0.0000, 0.0000], [0.8485, 0.2305, 0.7396], [0.6779, 0.7599, 0.0000], [0.3412, 0.2653, 0.5000], [0.6588, 0.7347, 0.5000], [0.1515, 0.7695, 0.2604], [0.3221, 0.2401, 0.0000], [0.1516, 0.7696, 0.7396], [0.8484, 0.2304, 0.2604], [0.5000, 0.5000, 0.2597], [0.5000, 0.5000, 0.7403], [0.0000, 0.0000, 0.5000]]}


[4]
{"formula": "NaAsS2Cl", "functional": "GGA-PBE", "state": "optimized geometry", "e_tot_ev_per_atom": -3.531, "crystal_system": "tetragonal", "m_tot_mub_per_fu": 0.000, "e_form_raw_ev_per_atom": -0.317, "relative_energy_ev_per_atom": 0.000, "lattice": [[4.7460, 0.0000, 0.0000], [0.0000, 4.7460, 0.0000], [0.0000, 0.0000, 5.2820]], "species": ["As", "S", "S", "Cl", "Na"], "fractional_positions": [[0.0000, 0.0000, 0.0000], [0.0000, 0.5000, 0.0000], [0.5000, 0.0000, 0.0000], [0.0000, 0.0000, 0.5000], [0.5000, 0.5000, 0.5000]]}


[5]
{"formula": "Na2BiSeI", "functional": "GGA-PBE", "state": "optimized geometry", "e_tot_ev_per_atom": -2.331, "crystal_system": "tetragonal", "m_tot_mub_per_fu": 0.000, "e_form_raw_ev_per_atom": -0.020, "lattice": [[-4.8543, 1.2474, 2.4457], [-2.8861, -2.4189, -4.4946], [0.0528, -4.9247, 2.6165]], "species": ["Se", "Na", "Na", "I", "Bi"], "fractional_positions": [[0.0000, 0.5000, 0.0000], [0.0000, 0.0000, 0.5000], [0.5000, 0.0000, 0.0000], [0.0000, 0.0000, 0.0000], [0.5000, 0.5000, 0.5000]]}


[6]
{"formula": "Ca4TeAu", "functional": "GGA-PBE", "state": "optimized geometry", "e_tot_ev_per_atom": -2.396, "crystal_system": "cubic", "m_tot_mub_per_fu": 0.000, "e_form_raw_ev_per_atom": 0.008, "lattice": [[0.0000, 4.6551, 4.6551], [4.6551, 0.0000, 4.6551], [4.6551, 4.6551, 0.0000]], "species": ["Ca", "Ca", "Ca", "Ca", "Au", "Te"], "fractional_positions": [[0.3754, 0.8738, 0.3754], [0.3754, 0.3754, 0.8738], [0.3754, 0.3754, 0.3754], [0.8738, 0.3754, 0.3754], [0.0000, 0.0000, 0.0000], [0.7500, 0.7500, 0.7500]]}


[7]
{"formula": "LiReGePd2", "functional": "GGA-PBE", "state": "optimized geometry", "e_tot_ev_per_atom": -5.088, "crystal_system": "tetragonal", "m_tot_mub_per_fu": 0.370, "relative_energy_ev_per_atom": 0.000, "formation_energy_kj_per_mol_atoms": 75.8, "lattice": [[-3.9986, 0.7820, -0.1882], [-0.6160, -3.7318, -2.4163], [-0.5775, -2.1269, 3.4320]], "species": ["Ge", "Pd", "Pd", "Re", "Li"], "fractional_positions": [[0.5000, 0.5000, 0.5000], [0.0000, 0.0000, 0.5000], [0.5000, 0.0000, 0.0000], [0.0000, 0.5000, 0.0000], [0.0000, 0.0000, 0.0000]]}


[8]
{"formula": "Tm2ThMg2Tl2", "functional": "GGA-PBE", "state": "optimized geometry", "e_tot_ev_per_atom": -3.524, "crystal_system": "trigonal", "m_tot_mub_per_fu": 0.000, "formation_energy_kj_per_mol_atoms": -5.2, "lattice": [[-2.5989, 1.1945, -4.1659], [-4.9994, -0.7205, -0.1526], [-3.7671, 8.0786, 1.6017]], "species": ["Mg", "Mg", "Th", "Tl", "Tl", "Tm", "Tm"], "fractional_positions": [[0.5880, 0.5880, 0.2361], [0.4120, 0.4120, 0.7639], [0.0000, 0.0000, 0.0000], [0.7375, 0.7375, 0.7874], [0.2625, 0.2625, 0.2126], [0.1314, 0.1314, 0.6057], [0.8686, 0.8686, 0.3943]]}


[9]
{"formula": "TiHgPd14", "functional": "GGA-PBE", "state": "optimized geometry", "e_tot_ev_per_atom": -5.241, "crystal_system": "tetragonal", "m_tot_mub_per_fu": 0.000, "formation_energy_kj_per_mol_atoms": -17.8, "lattice": [[5.6827, -0.0119, 0.0000], [0.0122, 5.6827, 0.0000], [0.0000, 0.0000, 7.7707]], "species": ["Pd", "Pd", "Pd", "Pd", "Pd", "Pd", "Pd", "Pd", "Pd", "Pd", "Pd", "Pd", "Pd", "Pd", "Hg", "Ti"], "fractional_positions": [[0.1187, 0.6313, 0.7478], [0.6313, 0.1187, 0.7478], [0.6313, 0.1187, 0.2522], [0.6313, 0.6313, 0.7478], [0.3750, 0.8750, 0.5000], [0.1187, 0.6313, 0.2522], [0.8750, 0.8750, 0.0000], [0.1187, 0.1187, 0.7478], [0.3750, 0.8750, 0.0000], [0.6313, 0.6313, 0.2522], [0.3750, 0.3750, 0.0000], [0.8750, 0.3750, 0.0000], [0.1187, 0.1187, 0.2522], [0.8750, 0.3750, 0.5000], [0.3750, 0.3750, 0.5000], [0.8750, 0.8750, 0.5000]]}


[10]
{"formula": "SmTl2AgSb2", "functional": "GGA-PBE", "state": "optimized geometry", "e_tot_ev_per_atom": -3.803, "crystal_system": "orthorhombic", "m_tot_mub_per_fu": 0.000, "e_form_raw_ev_per_atom": -0.378, "lattice": [[4.7358, 0.0000, 0.0000], [0.0000, 7.5093, 0.0000], [0.0000, 0.0000, 10.2349]], "species": ["Sb", "Sb", "Sb", "Sb", "Tl", "Tl", "Tl", "Tl", "Ag", "Ag", "Sm", "Sm"], "fractional_positions": [[0.5000, 0.7732, 0.6188], [0.5000, 0.2732, 0.3812], [0.0000, 0.7537, 0.2184], [0.0000, 0.2537, 0.7816], [0.5000, 0.0072, 0.1203], [0.5000, 0.5072, 0.8797], [0.0000, 0.8485, 0.8636], [0.0000, 0.3485, 0.1364], [0.5000, 0.6644, 0.3510], [0.5000, 0.1644, 0.6490], [0.0000, 0.9986, 0.4666], [0.0000, 0.4986, 0.5334]]}


[11]
{"formula": "Pm12Cu6Hg", "functional": "GGA-PBE", "state": "optimized geometry", "e_tot_ev_per_atom": -4.438, "crystal_system": "cubic", "m_tot_mub_per_fu": 0.000, "formation_energy_kj_per_mol_atoms": -12.4, "lattice": [[-4.1906, -6.9704, -3.2399], [1.8377, -1.3671, 8.4497], [-5.0880, 7.0826, -0.7710]], "species": ["Pm", "Pm", "Pm", "Pm", "Pm", "Pm", "Pm", "Pm", "Pm", "Pm", "Pm", "Pm", "Cu", "Cu", "Cu", "Cu", "Cu", "Cu", "Hg"], "fractional_positions": [[0.8111, 0.2973, 0.1085], [0.2973, 0.1085, 0.8111], [0.4862, 0.1889, 0.2973], [0.1889, 0.2973, 0.4862], [0.7027, 0.5138, 0.8111], [0.8111, 0.7027, 0.5138], [0.1085, 0.8111, 0.2973], [0.8915, 0.1889, 0.7027], [0.7027, 0.8915, 0.1889], [0.2973, 0.4862, 0.1889], [0.1889, 0.7027, 0.8915], [0.5138, 0.8111, 0.7027], [0.5000, 0.8780, 0.3780], [0.1220, 0.6220, 0.5000], [0.3780, 0.5000, 0.8780], [0.6220, 0.5000, 0.1220], [0.5000, 0.1220, 0.6220], [0.8780, 0.3780, 0.5000], [0.0000, 0.0000, 0.0000]]}


[12]
{"formula": "RbCa2Ho", "functional": "GGA-PBE", "state": "optimized geometry", "e_tot_ev_per_atom": -2.130, "crystal_system": "trigonal", "m_tot_mub_per_fu": 1.008, "formation_energy_kj_per_mol_atoms": 24.8, "lattice": [[3.8527, 0.0000, 0.0000], [1.9263, 3.3365, 0.0000], [1.9263, 1.1122, 14.0844]], "species": ["Ho", "Ca", "Ca", "Rb"], "fractional_positions": [[0.5000, 0.5000, 0.5000], [0.0965, 0.0965, 0.7105], [0.9035, 0.9035, 0.2895], [0.0000, 0.0000, 0.0000]]}


Please write out number 1 again, unchanged.
{"formula": "NiAg2Br", "functional": "GGA-PBE", "state": "optimized geometry", "e_tot_ev_per_atom": -2.859, "crystal_system": "tetragonal", "m_tot_mub_per_fu": 0.608, "e_form_raw_ev_per_atom": 0.430, "relative_energy_ev_per_atom": 0.268, "lattice": [[3.9807, 0.0000, 0.0000], [0.0000, 3.9807, 0.0000], [0.0000, 0.0000, 4.5788]], "species": ["Ni", "Br", "Ag", "Ag"], "fractional_positions": [[0.0000, 0.5000, 0.5000], [0.5000, 0.0000, 0.5000], [0.5000, 0.5000, 0.0000], [0.0000, 0.0000, 0.0000]]}